{"formula": "CsTl2V3F12", "functional": "PBE with a Hubbard U", "state": "optimized geometry", "cell": [[-4.579, 5.867, -2.405], [-5.613, -1.165, -5.320], [-7.565, 0.298, 1.963]], "species": ["Cs", "Tl", "Tl", "V", "V", "V", "F", "F", "F", "F", "F", "F", "F", "F", "F", "F", "F", "F"], "fractional_positions": [[0.000, 0.000, 0.000], [0.640, 0.640, 0.640], [0.360, 0.360, 0.360], [0.500, 0.000, 0.000], [0.000, 0.500, 0.000], [0.000, 0.000, 0.500], [0.274, 0.274, 0.902], [0.872, 0.872, 0.463], [0.463, 0.872, 0.872], [0.902, 0.274, 0.274], [0.872, 0.463, 0.872], [0.274, 0.902, 0.274], [0.726, 0.726, 0.098], [0.128, 0.128, 0.537], [0.537, 0.128, 0.128], [0.098, 0.726, 0.726], [0.128, 0.537, 0.128], [0.726, 0.098, 0.726]], "e_tot_ev_per_atom": -5.477, "vol_a3_per_cell": 329.20}